# 1
VASP calculation (PBE) on crystalline KLiCl2 at its relaxed geometry.

```
4
Lattice="-0.6836 2.7669 2.1968 -2.6258 1.5221 -2.7342 -5.3981 -3.6050 2.8610" Properties=species:S:1:pos:R:3 pbc="T T T"
K -2.3477 0.8627 1.1301
Cl -7.3527 -2.4028 0.7385
Li -6.3597 -0.1787 1.1935
Cl -4.6831 -0.7216 -0.5483
```

## Properties
Electronic total energy (eV per atom): -3.471
Density (g/cm³): 1.86
Size of the total moment (μB/f.u.): 0.00



# 2
VASP calculation (PBE) on crystalline KLiCl2 at its relaxed geometry.

```
4
Lattice="-3.8586 -5.2626 -3.3835 -2.8936 -6.7560 0.1219 -3.3963 2.1805 1.8640" Properties=species:S:1:pos:R:3 pbc="T T T"
K -5.1624 -4.3156 -0.4175
Cl -0.7304 -0.2591 0.0907
Cl -6.8925 -8.4030 -1.6826
Li -2.4374 -1.7795 -0.0871
```

## Properties
Electronic total energy (eV per atom): -3.497
Density (g/cm³): 1.59
Size of the total moment (μB/f.u.): 0.00



# 3
VASP calculation (PBE) on crystalline K2LiCl3 at its relaxed geometry.

```
24
Lattice="4.2838 0.0000 0.0000 0.0000 8.9087 0.0000 0.0000 0.0000 17.2501" Properties=species:S:1:pos:R:3 pbc="T T T"
Cl 1.0710 4.4853 6.8745
Cl 3.2129 4.4234 10.3755
Cl 3.2129 7.7193 7.3525
Cl 3.2129 3.2649 1.2725
Cl 3.2129 6.0421 3.9953
K 1.0710 2.3201 16.4567
Cl 1.0710 2.8666 13.2548
Li 3.2129 1.1242 2.2882
K 3.2129 5.1780 13.5623
Cl 1.0710 7.3209 12.6203
Li 1.0710 7.7845 14.9618
Cl 3.2129 1.5877 4.6298
K 3.2129 2.1342 7.8316
Cl 1.0710 1.1894 9.8976
K 3.2129 0.7237 12.3128
K 3.2129 6.5885 0.7934
K 1.0710 3.7307 3.6878
Li 1.0710 3.3302 10.9133
Cl 1.0710 0.0309 1.7505
K 1.0710 8.1850 4.9373
Cl 3.2129 8.8777 15.4996
Li 3.2129 5.5785 6.3368
Cl 1.0710 5.6437 15.9776
K 1.0710 6.7745 9.4184
```

## Properties
Electronic total energy (eV per atom): -3.511
Density (g/cm³): 1.93
Size of the total moment (μB/f.u.): 0.00



# 4
VASP calculation (PBE) on crystalline KLi2Cl at its relaxed geometry.

```
4
Lattice="-3.5505 -1.1544 -0.5121 1.0234 -1.7347 -3.1851 1.4461 -6.1360 3.8064" Properties=species:S:1:pos:R:3 pbc="T T T"
Cl 0.6241 -2.6481 1.6427
Li 0.1199 -0.5088 0.3156
Li -0.8881 -3.0377 -0.8603
K -0.2139 -5.8984 0.9143
```

## Properties
Density (g/cm³): 1.40
Relative energy among the computed polymorphs (meV per atom): 66
Size of the total moment (μB/f.u.): 0.00